# 1
Tb5TlHg2, optimized geometry, DFT GGA-PBE; total magnetization = 0.0000 μB per atom; crystal system = tetragonal
1.0
8.355 0.000 0.000
0.000 8.355 0.000
-4.177 -4.177 6.519
Tb Tl Hg
10 2 4
Cartesian
1.283 2.894 4.569
5.460 7.072 1.950
0.000 0.000 0.000
4.177 4.177 0.000
-1.283 -2.894 4.569
2.894 -1.283 4.569
-2.894 1.283 4.569
1.283 5.460 1.950
7.072 2.894 1.950
2.894 1.283 1.950
4.177 4.177 3.259
0.000 0.000 3.259
1.170 3.007 0.000
5.347 1.170 0.000
3.007 7.185 0.000
7.185 5.347 0.000

=====

# 2
Tb3TlHg3, optimized geometry, DFT GGA-PBE; E above lowest polymorph = 0.0 meV/atom; total magnetization = 0.0000 μB per atom; crystal system = hexagonal
1.0
5.054 0.000 0.000
0.000 9.256 0.000
0.000 -4.628 8.016
Tb Tl Hg
6 2 6
Cartesian
3.791 3.521 4.448
3.791 3.644 0.825
3.791 6.720 2.743
1.264 1.107 3.569
1.264 0.984 7.191
1.264 -2.091 5.273
1.264 4.628 2.672
3.791 0.000 5.344
1.264 3.881 6.141
1.264 1.998 0.290
1.264 8.006 1.585
3.791 0.747 1.875
3.791 2.630 7.726
3.791 -3.378 6.431

=====

Calculated calculated density in order - 10.2; 11.4 g/cm³
Calculated formation enthalpy at 0 K in order - -261; -221 kJ/mol of formula units